[1]
Entry from the Open Quantum Materials Database: an optimized crystal structure of Y2Cd2O5 (GGA-PBE).

Results
Its energy relative to the lowest polymorph listed for this composition is 0.0 meV per atom. For the magnetic moment, the calculation gives 0.0007 μB/atom.

abc: 4.1165 4.1165 8.5102
angles: 90.00 90.00 90.00
Sites, in units of the cell vectors:
1 Y 0.0000 0.0000 0.2428
2 Y 0.0000 0.0000 0.7572
3 Cd 0.5000 0.5000 0.0000
4 Cd 0.5000 0.5000 0.5000
5 O 0.0000 0.0000 0.5000
6 O 0.0000 0.5000 0.1646
7 O 0.0000 0.5000 0.8354
8 O 0.5000 0.0000 0.1646
9 O 0.5000 0.0000 0.8354

[2]
Entry from the Open Quantum Materials Database: an optimized crystal structure of RbPuZn (GGA-PBE).

Results
Its energy relative to the lowest polymorph listed for this composition is 417.9 meV per atom. For the magnetic moment, the calculation gives 2.3657 μB/atom.

abc: 5.5208 5.5208 5.5208
angles: 60.00 60.00 60.00
Sites, in units of the cell vectors:
1 Rb 0.0000 0.0000 0.0000
2 Pu 0.7500 0.7500 0.7500
3 Zn 0.2500 0.2500 0.2500

[3]
Entry from the Open Quantum Materials Database: an optimized crystal structure of CsErTeS (GGA-PBE).

Results
The total energy comes out at -4.736 eV per atom. For the magnetic moment, the calculation gives 0.0019 μB/atom.

abc: 8.8704 8.8704 8.8704
angles: 27.86 27.86 27.86
Sites, in units of the cell vectors:
1 Cs 0.0000 0.0000 0.0000
2 Er 0.4858 0.4858 0.4858
3 Te 0.2234 0.2234 0.2234
4 S 0.7673 0.7673 0.7673

[4]
Entry from the Open Quantum Materials Database: an optimized crystal structure of AcGePd (GGA-PBE).

Results
Its energy relative to the lowest polymorph listed for this composition is 0.0 meV per atom. For the magnetic moment, the calculation gives 0.0003 μB/atom.

abc: 4.4361 4.4361 4.4246
angles: 90.00 90.00 120.00
Sites, in units of the cell vectors:
1 Ac 0.0000 0.0000 0.0000
2 Ge 0.6667 0.3333 0.5000
3 Pd 0.3333 0.6667 0.5000

[5]
Entry from the Open Quantum Materials Database: an optimized crystal structure of LaDyCu2Bi4 (GGA-PBE).

Results
The total energy comes out at -4.627 eV per atom. For the magnetic moment, the calculation gives 0.0001 μB/atom.

abc: 4.5846 4.5846 9.8836
angles: 90.00 90.00 90.00
Sites, in units of the cell vectors:
1 La 0.0000 0.0000 0.0000
2 Dy 0.5000 0.5000 0.5273
3 Cu 0.0000 0.5000 0.7540
4 Cu 0.5000 0.0000 0.7540
5 Bi 0.0000 0.0000 0.5943
6 Bi 0.0000 0.5000 0.2700
7 Bi 0.5000 0.0000 0.2700
8 Bi 0.5000 0.5000 0.9166

[6]
Entry from the Open Quantum Materials Database: an optimized crystal structure of PrYPt (GGA-PBE).

Results
Its energy relative to the lowest polymorph listed for this composition is 764.9 meV per atom. The calculation puts the energy of formation at -0.30 eV/f.u. For the magnetic moment, the calculation gives 0.0052 μB/atom.

abc: 4.8229 4.8229 4.8229
angles: 60.00 60.00 60.00
Sites, in units of the cell vectors:
1 Pr 0.0000 0.0000 0.0000
2 Y 0.2500 0.2500 0.2500
3 Pt 0.5000 0.5000 0.5000

[7]
Entry from the Open Quantum Materials Database: an optimized crystal structure of PrPaCu2As2P2 (GGA-PBE).

Results
The total energy comes out at -6.050 eV per atom. For the magnetic moment, the calculation gives 0.0009 μB/atom.

abc: 3.9033 3.9033 9.7408
angles: 90.00 90.00 90.00
Sites, in units of the cell vectors:
1 Pr 0.0000 0.0000 0.0000
2 Pa 0.5000 0.5000 0.4794
3 Cu 0.0000 0.5000 0.7310
4 Cu 0.5000 0.0000 0.7310
5 As 0.0000 0.5000 0.2481
6 As 0.5000 0.0000 0.2481
7 P 0.0000 0.0000 0.5690
8 P 0.5000 0.5000 0.8716